[1]
The following is a PBE calculation of crystalline HgIr2Pt at its relaxed geometry, from Alexandria via LeMat-Bulk.

- ρ (kg/m3) = 19864
- DFT formation energy (eV/atom) = 0.319
- E (Ha/atom) = -0.2094

Unit cell a=9.324 b=2.823 c=5.027 alpha=90.00 beta=99.66 gamma=90.00
Space group C2/m (No. 12)
Unique sites:
Hg (0.000, 0.000, 0.000)
Ir (0.245, 0.000, 0.726)
Pt (0.000, 0.500, 0.500)

=====

[2]
The following is a PBE calculation of crystalline HgIrPt2 at its relaxed geometry, from Alexandria via LeMat-Bulk.

- ρ (kg/m3) = 19100
- DFT formation energy (eV/atom) = 0.172
- E (Ha/atom) = -0.1889

Unit cell a=2.785 b=3.606 c=6.778 alpha=90.00 beta=90.42 gamma=90.00
Space group P2/m (No. 10)
Unique sites:
Hg (0.000, 0.000, 0.000)
Ir (0.000, 0.000, 0.500)
Pt (0.495, 0.500, 0.281)

=====

[3]
The following is a PBE calculation of crystalline HgIr2Pt at its relaxed geometry, from Alexandria via LeMat-Bulk.

- ρ (kg/m3) = 19913
- DFT formation energy (eV/atom) = 0.364
- E (Ha/atom) = -0.2077

Unit cell a=2.8635 b=2.8635 c=27.4825 alpha=90.00 beta=90.00 gamma=120.00
Space group R-3m (No. 166, hexagonal axes)
Unique sites:
Hg (0.0000, 0.0000, 0.0000)
Ir (0.0000, 0.0000, 0.2453)
Pt (0.0000, 0.0000, 0.5000)

=====

[4]
The following is a PBE calculation of crystalline HgIr3Pt at its relaxed geometry, from Alexandria via LeMat-Bulk.

- ρ (kg/m3) = 14298
- energy above the lowest structure with this stoichiometry (kJ/mol of formula units) = 0.0
- DFT formation energy (eV/atom) = 1.903
- E (Ha/atom) = -0.1721

Unit cell a=4.834 b=4.834 c=4.834 alpha=90.00 beta=90.00 gamma=90.00
Space group Pm-3m (No. 221)
Unique sites:
Hg (0.000, 0.000, 0.000)
Ir (0.000, 0.500, 0.500)
Pt (0.500, 0.500, 0.500)

=====

[5]
The following is a PBE calculation of crystalline HgIr2Pt at its relaxed geometry, from Alexandria via LeMat-Bulk.

- ρ (kg/m3) = 17858
- DFT formation energy (eV/atom) = 0.650
- E (Ha/atom) = -0.1972

Unit cell a=3.914 b=3.914 c=18.940 alpha=90.00 beta=90.00 gamma=90.00
Space group I-42d (No. 122)
Unique sites:
Hg (0.000, 0.000, 0.000)
Ir (0.199, 0.250, 0.625)
Pt (0.000, 0.000, 0.500)

=====

[6]
The following is a PBE calculation of crystalline HgIr2Pt at its relaxed geometry, from Alexandria via LeMat-Bulk.

- ρ (kg/m3) = 19799
- DFT formation energy (eV/atom) = 0.180
- E (Ha/atom) = -0.2145

Unit cell a=2.825 b=2.825 c=8.199 alpha=90.00 beta=90.00 gamma=90.00
Space group P4mm (No. 99)
Unique sites:
Hg (0.000, 0.000, 0.000)
Ir (0.000, 0.000, 0.488)
Ir (0.500, 0.500, 0.273)
Pt (0.500, 0.500, 0.725)

=====

[7]
The following is a PBE calculation of crystalline HgIrPt2 at its relaxed geometry, from Alexandria via LeMat-Bulk.

- ρ (kg/m3) = 19234
- DFT formation energy (eV/atom) = 0.278
- E (Ha/atom) = -0.1849

Unit cell a=3.369 b=3.369 c=5.956 alpha=90.00 beta=90.00 gamma=90.00
Space group P4mm (No. 99)
Unique sites:
Hg (0.000, 0.000, 0.000)
Ir (0.500, 0.500, 0.285)
Pt (0.000, 0.000, 0.486)
Pt (0.500, 0.500, 0.739)

=====

[8]
The following is a PBE calculation of crystalline HgIrPt2 at its relaxed geometry, from Alexandria via LeMat-Bulk.

- ρ (kg/m3) = 19460
- DFT formation energy (eV/atom) = 0.300
- E (Ha/atom) = -0.1842

Unit cell a=2.805 b=4.872 c=4.888 alpha=90.00 beta=90.00 gamma=90.00
Space group Pmmm (No. 47)
Unique sites:
Hg (0.000, 0.000, 0.000)
Ir (0.500, 0.500, 0.000)
Pt (0.000, 0.500, 0.500)
Pt (0.500, 0.000, 0.500)

=====

[9]
The following is a PBE calculation of crystalline HgIrPt2 at its relaxed geometry, from Alexandria via LeMat-Bulk.

- ρ (kg/m3) = 19530
- DFT formation energy (eV/atom) = 0.236
- E (Ha/atom) = -0.1865

Unit cell a=9.244 b=2.864 c=5.102 alpha=90.00 beta=99.66 gamma=90.00
Space group C2/m (No. 12)
Unique sites:
Hg (0.000, 0.000, 0.000)
Ir (0.000, 0.500, 0.500)
Pt (0.243, 0.000, 0.731)

=====

[10]
The following is a PBE calculation of crystalline HgIrPtSe2 at its relaxed geometry, from Alexandria via LeMat-Bulk.

- ρ (kg/m3) = 9638
- energy relative to the elements, uncorrected (eV/atom) = 1.824
- E (Ha/atom) = -0.0959

Unit cell a=5.017 b=5.017 c=5.104 alpha=90.00 beta=90.00 gamma=90.00
Space group P4/mmm (No. 123)
Unique sites:
Hg (0.000, 0.000, 0.000)
Ir (0.000, 0.000, 0.500)
Pt (0.500, 0.500, 0.500)
Se (0.000, 0.500, 0.000)

=====

[11]
The following is a PBE calculation of crystalline Tl2HgIrPt at its relaxed geometry, from Alexandria via LeMat-Bulk.

- ρ (kg/m3) = 10376
- DFT formation energy (eV/atom) = 1.483
- E (Ha/atom) = -0.0920

Unit cell a=5.612 b=5.612 c=5.063 alpha=90.00 beta=90.00 gamma=90.00
Space group P4/mmm (No. 123)
Unique sites:
Tl (0.000, 0.500, 0.000)
Hg (0.000, 0.000, 0.000)
Ir (0.500, 0.500, 0.500)
Pt (0.000, 0.000, 0.500)

=====

[12]
The following is a PBE calculation of crystalline PuHgIr at its relaxed geometry, from Alexandria via LeMat-Bulk.

- ρ (kg/m3) = 16466
- DFT formation energy (eV/atom) = -0.051
- E (Ha/atom) = -0.2897

Unit cell a=10.698 b=3.045 c=8.171 alpha=90.00 beta=105.17 gamma=90.00
Space group C2/m (No. 12)
Unique sites:
Pu (0.104, 0.000, 0.348)
Hg (0.124, 0.500, 0.971)
Ir (0.172, 0.000, 0.690)